# SrZr2Se | the Alexandria database | PBE | relaxed
data_SrZr2Se
_cell_length_a 4.503
_cell_length_b 4.503
_cell_length_c 9.622
_cell_angle_alpha 90.00
_cell_angle_beta 90.00
_cell_angle_gamma 90.00
_space_group_name_H-M_alt 'I -4 m 2'
_space_group_IT_number 119
_space_group_name_Hall 'I -4 -2'
loop_
_atom_site_label
_atom_site_type_symbol
_atom_site_fract_x
_atom_site_fract_y
_atom_site_fract_z
Sr1 Sr 0.000 0.000 0.000
Zr1 Zr 0.000 0.000 0.500
Zr2 Zr 0.000 0.500 0.750
Se1 Se 0.000 0.500 0.250
# DFT total energy = -5.435 eV/atom
# crystal system = tetragonal